{
  "formula": "AlCdSe2N",
  "functional": "GGA-PBE",
  "state": "optimized geometry",
  "cell": [[-2.064, -2.275, -4.321], [4.337, -3.009, -0.488], [-1.479, -2.457, 2.000]],
  "species": ["Se", "Se", "Cd", "Al", "N"],
  "frac_coords": [[0.000, 0.500, 0.000], [0.500, 0.000, 0.000], [0.500, 0.500, 0.500], [0.000, 0.000, 0.000], [0.000, 0.000, 0.500]],
  "n_ef_per_ev_atom": 1.05,
  "raw_formation_energy_mev_per_atom": 158
}

---

{
  "formula": "KSb2Ru",
  "functional": "GGA-PBE",
  "state": "optimized geometry",
  "cell": [[5.771, 0.007, 0.000], [2.386, 5.255, 0.000], [-4.079, -2.631, 3.122]],
  "species": ["Sb", "Sb", "Ru", "K"],
  "frac_coords": [[0.250, 0.750, 0.500], [0.000, 0.000, 0.000], [0.750, 0.250, 0.500], [0.500, 0.500, 0.000]],
  "n_ef_per_ev_atom": 1.26,
  "raw_formation_energy_mev_per_atom": 611
}

---

{
  "formula": "Al3NiOs",
  "functional": "GGA-PBE",
  "state": "optimized geometry",
  "cell": [[-4.096, 1.913, 1.152], [-1.766, -4.248, 0.775], [1.366, 0.245, 4.454]],
  "species": ["Al", "Al", "Al", "Os", "Ni"],
  "frac_coords": [[0.500, 0.000, 0.000], [0.000, 0.000, 0.500], [0.000, 0.500, 0.000], [0.000, 0.000, 0.000], [0.500, 0.500, 0.500]],
  "delta_e_f_ev_per_atom": 0.454,
  "n_ef_per_ev_atom": 0.75
}

---

{
  "formula": "BaSbO",
  "functional": "GGA-PBE",
  "state": "optimized geometry",
  "cell": [[-0.232, 0.755, -3.467], [1.550, -4.116, -0.999], [-8.526, -3.181, -0.123]],
  "species": ["Ba", "Sb", "Ba", "O", "Sb", "O"],
  "frac_coords": [[0.311, 0.717, 0.046], [0.811, 0.719, 0.526], [0.311, 0.217, 0.747], [0.812, 0.713, 0.772], [0.811, 0.219, 0.267], [0.812, 0.213, 0.021]],
  "n_ef_per_ev_atom": 0.28,
  "raw_formation_energy_mev_per_atom": -1362
}

---

{
  "formula": "Tm2TaN3",
  "functional": "GGA-PBE",
  "state": "optimized geometry",
  "cell": [[-1.308, 2.042, 2.270], [-1.885, -3.605, 2.157], [5.351, 1.293, 1.921]],
  "species": ["Ta", "Tm", "Tm", "N", "N", "N"],
  "frac_coords": [[0.000, 0.000, 0.000], [0.500, 0.648, 0.297], [0.500, 0.352, 0.703], [0.000, 0.500, 0.000], [0.500, 0.864, 0.727], [0.500, 0.136, 0.273]],
  "n_ef_per_ev_atom": 0.28,
  "raw_formation_energy_mev_per_atom": -1334
}

---

{
  "formula": "VSn2Ir",
  "functional": "GGA-PBE",
  "state": "optimized geometry",
  "cell": [[7.537, 0.000, 0.000], [0.000, 7.537, 0.000], [3.769, 3.769, 2.889]],
  "species": ["V", "Sn", "Sn", "V", "Sn", "Ir", "Sn", "Ir"],
  "frac_coords": [[0.250, 0.750, 0.500], [0.375, 0.352, 0.750], [0.875, 0.898, 0.750], [0.500, 0.500, 0.000], [0.102, 0.625, 0.250], [0.750, 0.250, 0.500], [0.648, 0.125, 0.250], [0.000, 0.000, 0.000]],
  "delta_e_f_ev_per_atom": 0.394,
  "n_ef_per_ev_atom": 1.08
}

---

{
  "formula": "Tb2YRu3",
  "functional": "GGA-PBE",
  "state": "optimized geometry",
  "cell": [[3.423, 0.000, 0.000], [0.000, 4.573, -1.514], [0.000, -0.015, 7.619]],
  "species": ["Ru", "Tb", "Tb", "Y", "Ru", "Ru"],
  "frac_coords": [[0.500, 0.168, 0.336], [0.000, 0.666, 0.333], [0.000, 0.334, 0.667], [0.000, 0.000, 0.000], [0.500, 0.832, 0.664], [0.500, 0.500, 0.000]],
  "delta_e_f_ev_per_atom": -0.285,
  "n_ef_per_ev_atom": 1.08
}

---

{
  "formula": "Pr4Tl3",
  "functional": "GGA-PBE",
  "state": "optimized geometry",
  "cell": [[5.256, 0.000, 1.567], [2.395, 4.679, 1.567], [0.051, 0.031, 9.430]],
  "species": ["Pr", "Tl", "Pr", "Tl", "Pr", "Pr", "Tl"],
  "frac_coords": [[0.619, 0.619, 0.143], [0.000, 0.000, 0.000], [0.871, 0.871, 0.386], [0.251, 0.251, 0.248], [0.129, 0.129, 0.614], [0.381, 0.381, 0.857], [0.749, 0.749, 0.752]],
  "delta_e_f_ev_per_atom": -0.247,
  "n_ef_per_ev_atom": 1.31
}

---

{
  "formula": "Tl3RhI",
  "functional": "GGA-PBE",
  "state": "optimized geometry",
  "cell": [[-3.208, 6.108, -2.039], [2.335, -3.374, -5.909], [-5.775, -3.187, -0.463]],
  "species": ["Tl", "Tl", "I", "Tl", "Tl", "Rh", "Tl", "Tl", "Rh", "I"],
  "frac_coords": [[0.000, 0.000, 0.000], [0.512, 0.128, 0.250], [0.590, 0.410, 0.750], [0.488, 0.872, 0.750], [0.872, 0.488, 0.250], [0.177, 0.823, 0.250], [0.128, 0.512, 0.750], [0.000, 0.000, 0.500], [0.823, 0.177, 0.750], [0.410, 0.590, 0.250]],
  "n_ef_per_ev_atom": 0.55,
  "raw_formation_energy_mev_per_atom": -43
}

---

{
  "formula": "LiAl6Ag8",
  "functional": "GGA-PBE",
  "state": "optimized geometry",
  "cell": [[4.647, 0.000, 0.000], [0.000, 7.211, -4.163], [0.000, 0.000, 8.326]],
  "species": ["Al", "Ag", "Al", "Ag", "Ag", "Al", "Ag", "Ag", "Ag", "Al", "Ag", "Al", "Ag", "Li", "Al"],
  "frac_coords": [[0.585, 0.857, 0.540], [0.902, 0.326, 0.016], [0.415, 0.317, 0.857], [0.098, 0.310, 0.326], [0.111, 0.667, 0.333], [0.585, 0.460, 0.317], [0.902, 0.984, 0.310], [0.098, 0.016, 0.690], [0.889, 0.333, 0.667], [0.585, 0.683, 0.143], [0.902, 0.690, 0.674], [0.415, 0.540, 0.683], [0.098, 0.674, 0.984], [0.500, 0.000, 0.000], [0.415, 0.143, 0.460]],
  "delta_e_f_ev_per_atom": 0.002,
  "n_ef_per_ev_atom": 0.25
}

---

{
  "formula": "ScBeCS2",
  "functional": "GGA-PBE",
  "state": "optimized geometry",
  "cell": [[-2.612, -1.200, -3.502], [-1.975, -1.824, 2.098], [-2.611, 3.635, 0.702]],
  "species": ["C", "S", "Be", "Sc", "S"],
  "frac_coords": [[0.000, 0.500, 0.000], [0.500, 0.000, 0.000], [0.000, 0.000, 0.000], [0.500, 0.500, 0.500], [0.000, 0.000, 0.500]],
  "n_ef_per_ev_atom": 0.48,
  "raw_formation_energy_mev_per_atom": 62
}

---

{
  "formula": "BaNa5Sr6",
  "functional": "GGA-PBE",
  "state": "optimized geometry",
  "cell": [[6.278, 0.003, -1.314], [-0.006, 9.348, -0.001], [-1.175, 0.001, 10.146]],
  "species": ["Sr", "Ba", "Sr", "Na", "Sr", "Na", "Na", "Sr", "Sr", "Sr", "Na", "Na"],
  "frac_coords": [[0.500, 0.732, 0.000], [0.000, 0.000, 0.000], [0.173, 0.743, 0.344], [0.659, 0.000, 0.316], [0.827, 0.257, 0.656], [0.341, 0.000, 0.684], [0.000, 0.500, 0.000], [0.173, 0.257, 0.344], [0.500, 0.268, 0.000], [0.827, 0.743, 0.656], [0.333, 0.500, 0.667], [0.667, 0.500, 0.333]],
  "delta_e_f_ev_per_atom": 0.037,
  "n_ef_per_ev_atom": 0.78
}

---

{
  "formula": "TaBAsBr2",
  "functional": "GGA-PBE",
  "state": "optimized geometry",
  "cell": [[-1.469, -2.924, -3.022], [3.967, 0.099, -2.024], [1.464, -3.525, 2.699]],
  "species": ["B", "Br", "Br", "Ta", "As"],
  "frac_coords": [[0.000, 0.000, 0.000], [0.500, 0.000, 0.000], [0.000, 0.500, 0.000], [0.500, 0.500, 0.500], [0.000, 0.000, 0.500]],
  "n_ef_per_ev_atom": 0.37,
  "raw_formation_energy_mev_per_atom": 1179
}

---

{
  "formula": "Pm2ScZn6",
  "functional": "GGA-PBE",
  "state": "optimized geometry",
  "cell": [[3.447, 0.000, 0.000], [0.000, 6.759, -3.902], [0.000, 0.000, 7.804]],
  "species": ["Zn", "Zn", "Sc", "Pm", "Pm", "Zn", "Zn", "Zn", "Zn"],
  "frac_coords": [[0.500, 0.000, 0.324], [0.500, 0.676, 0.000], [0.000, 0.000, 0.000], [0.000, 0.667, 0.333], [0.000, 0.333, 0.667], [0.500, 0.324, 0.324], [0.500, 0.000, 0.676], [0.500, 0.676, 0.676], [0.500, 0.324, 0.000]],
  "delta_e_f_ev_per_atom": -0.336,
  "n_ef_per_ev_atom": 0.73
}

---

{
  "formula": "ZnCd2Rh",
  "functional": "GGA-PBE",
  "state": "optimized geometry",
  "cell": [[-2.282, 4.458, 1.345], [-0.732, 0.576, 5.101], [4.030, -1.304, -2.991]],
  "species": ["Rh", "Cd", "Zn", "Cd"],
  "frac_coords": [[0.750, 0.250, 0.500], [0.500, 0.500, 0.000], [0.250, 0.750, 0.500], [0.000, 0.000, 0.000]],
  "delta_e_f_ev_per_atom": -0.106,
  "n_ef_per_ev_atom": 0.37
}

---

{
  "formula": "PuPaZnPd",
  "functional": "GGA-PBE",
  "state": "optimized geometry",
  "cell": [[-2.731, -2.896, -3.006], [-3.670, -2.798, 1.892], [-4.759, 1.164, -0.935]],
  "species": ["Pu", "Zn", "Pd", "Pa"],
  "frac_coords": [[0.750, 0.750, 0.750], [0.500, 0.500, 0.500], [0.000, 0.000, 0.000], [0.250, 0.250, 0.250]],
  "delta_e_f_ev_per_atom": -0.106,
  "n_ef_per_ev_atom": 3.05
}

---

{
  "formula": "Ho2Zn5Pt5",
  "functional": "GGA-PBE",
  "state": "optimized geometry",
  "cell": [[4.368, 0.000, 0.000], [0.000, 5.228, 0.000], [0.000, 0.000, 9.196]],
  "species": ["Pt", "Zn", "Ho", "Ho", "Zn", "Zn", "Pt", "Zn", "Pt", "Pt", "Zn", "Pt"],
  "frac_coords": [[0.000, 0.500, 0.667], [0.500, 0.249, 0.749], [0.000, 0.500, 0.000], [0.000, 0.000, 0.500], [0.500, 0.500, 0.500], [0.500, 0.751, 0.749], [0.500, 0.000, 0.000], [0.500, 0.751, 0.251], [0.000, 0.000, 0.822], [0.000, 0.500, 0.333], [0.500, 0.249, 0.251], [0.000, 0.000, 0.178]],
  "delta_e_f_ev_per_atom": -0.761,
  "n_ef_per_ev_atom": 0.40
}

---

{
  "formula": "Hf3PW",
  "functional": "GGA-PBE",
  "state": "optimized geometry",
  "cell": [[-2.508, -3.535, 1.914], [1.358, -2.868, -3.518], [3.783, -1.314, 2.531]],
  "species": ["Hf", "Hf", "Hf", "W", "P"],
  "frac_coords": [[0.000, 0.000, 0.500], [0.500, 0.000, 0.000], [0.000, 0.500, 0.000], [0.500, 0.500, 0.500], [0.000, 0.000, 0.000]],
  "delta_e_f_ev_per_atom": 0.195,
  "n_ef_per_ev_atom": 0.70
}

---

{
  "formula": "ZrSc2Sb",
  "functional": "GGA-PBE",
  "state": "optimized geometry",
  "cell": [[8.215, 0.000, 0.000], [0.000, 8.215, 0.000], [4.107, 4.107, 2.958]],
  "species": ["Zr", "Sb", "Sc", "Sc", "Sc", "Zr", "Sb", "Sc"],
  "frac_coords": [[0.250, 0.750, 0.500], [0.750, 0.250, 0.500], [0.652, 0.125, 0.250], [0.375, 0.348, 0.750], [0.098, 0.625, 0.250], [0.500, 0.500, 0.000], [0.000, 0.000, 0.000], [0.875, 0.902, 0.750]],
  "n_ef_per_ev_atom": 0.90,
  "raw_formation_energy_mev_per_atom": -20
}